DFT (PBE) results for a geometry-optimized TbLuB4 structure.

Calculated formation energy, kJ per mole of atoms: 27

```
data_TbLuB4
_cell_length_a 6.680
_cell_length_b 6.680
_cell_length_c 6.680
_cell_angle_alpha 90.00
_cell_angle_beta 90.00
_cell_angle_gamma 90.00
_space_group_name_H-M_alt 'F -4 3 m'
_space_group_IT_number 216
_space_group_name_Hall 'F -4 2 3'
loop_
_atom_site_label
_atom_site_type_symbol
_atom_site_fract_x
_atom_site_fract_y
_atom_site_fract_z
Tb1 Tb 0.000 0.000 0.000
Lu1 Lu 0.250 0.250 0.250
B1 B 0.094 0.094 0.594
```


DFT (PBE) results for a geometry-optimized LuTcB2 structure.

Calculated formation energy, kJ per mole of atoms: -16

```
data_LuTcB2
_cell_length_a 3.2412
_cell_length_b 3.2412
_cell_length_c 17.0451
_cell_angle_alpha 90.00
_cell_angle_beta 90.00
_cell_angle_gamma 120.00
_space_group_name_H-M_alt 'R -3 m'
_space_group_IT_number 166
_space_group_name_Hall '-R 3 2"'
loop_
_atom_site_label
_atom_site_type_symbol
_atom_site_fract_x
_atom_site_fract_y
_atom_site_fract_z
Lu1 Lu 0.0000 0.0000 0.0000
Tc1 Tc 0.0000 0.0000 0.5000
B1 B 0.0000 0.0000 0.2360
```


DFT (PBE) results for a geometry-optimized LuTcB4 structure.

Calculated formation energy, kJ per mole of atoms: 36

```
data_LuTcB4
_cell_length_a 6.226
_cell_length_b 6.226
_cell_length_c 6.226
_cell_angle_alpha 90.00
_cell_angle_beta 90.00
_cell_angle_gamma 90.00
_space_group_name_H-M_alt 'F -4 3 m'
_space_group_IT_number 216
_space_group_name_Hall 'F -4 2 3'
loop_
_atom_site_label
_atom_site_type_symbol
_atom_site_fract_x
_atom_site_fract_y
_atom_site_fract_z
Lu1 Lu 0.000 0.000 0.000
Tc1 Tc 0.250 0.250 0.750
B1 B 0.147 0.147 0.353
```


DFT (PBE) results for a geometry-optimized LuTc2B structure.

Calculated formation energy, kJ per mole of atoms: -12

```
data_LuTc2B
_cell_length_a 3.1507
_cell_length_b 3.1507
_cell_length_c 21.3782
_cell_angle_alpha 90.00
_cell_angle_beta 90.00
_cell_angle_gamma 120.00
_space_group_name_H-M_alt 'R -3 m'
_space_group_IT_number 166
_space_group_name_Hall '-R 3 2"'
loop_
_atom_site_label
_atom_site_type_symbol
_atom_site_fract_x
_atom_site_fract_y
_atom_site_fract_z
Lu1 Lu 0.0000 0.0000 0.0000
Tc1 Tc 0.0000 0.0000 0.2206
B1 B 0.0000 0.0000 0.5000
```


DFT (PBE) results for a geometry-optimized Lu2BTe structure.

Formation energy (no corrections), meV per atom: -651

```
data_Lu2BTe
_cell_length_a 3.8179
_cell_length_b 3.8179
_cell_length_c 21.2783
_cell_angle_alpha 90.00
_cell_angle_beta 90.00
_cell_angle_gamma 120.00
_space_group_name_H-M_alt 'R -3 m'
_space_group_IT_number 166
_space_group_name_Hall '-R 3 2"'
loop_
_atom_site_label
_atom_site_type_symbol
_atom_site_fract_x
_atom_site_fract_y
_atom_site_fract_z
Lu1 Lu 0.0000 0.0000 0.2328
B1 B 0.0000 0.0000 0.5000
Te1 Te 0.0000 0.0000 0.0000
```


DFT (PBE) results for a geometry-optimized TmLuB4 structure.

Calculated formation energy, kJ per mole of atoms: 24

```
data_TmLuB4
_cell_length_a 6.601
_cell_length_b 6.601
_cell_length_c 6.601
_cell_angle_alpha 90.00
_cell_angle_beta 90.00
_cell_angle_gamma 90.00
_space_group_name_H-M_alt 'F -4 3 m'
_space_group_IT_number 216
_space_group_name_Hall 'F -4 2 3'
loop_
_atom_site_label
_atom_site_type_symbol
_atom_site_fract_x
_atom_site_fract_y
_atom_site_fract_z
Tm1 Tm 0.000 0.000 0.000
Lu1 Lu 0.250 0.250 0.750
B1 B 0.096 0.096 0.404
```


DFT (PBE) results for a geometry-optimized LuUB8 structure.

Calculated formation energy, kJ per mole of atoms: -50

```
data_LuUB8
_cell_length_a 9.913
_cell_length_b 10.013
_cell_length_c 3.960
_cell_angle_alpha 90.00
_cell_angle_beta 90.00
_cell_angle_gamma 90.00
_space_group_name_H-M_alt 'C m m m'
_space_group_IT_number 65
_space_group_name_Hall '-C 2 2'
loop_
_atom_site_label
_atom_site_type_symbol
_atom_site_fract_x
_atom_site_fract_y
_atom_site_fract_z
Lu1 Lu 0.000 0.184 0.000
U1 U 0.189 0.500 0.000
B1 B 0.000 0.414 0.500
B2 B 0.088 0.000 0.500
B3 B 0.142 0.321 0.500
B4 B 0.181 0.141 0.500
B5 B 0.250 0.250 0.201
```


DFT (PBE) results for a geometry-optimized LuVB4 structure.

Calculated formation energy, kJ per mole of atoms: 18

```
data_LuVB4
_cell_length_a 6.159
_cell_length_b 6.159
_cell_length_c 6.159
_cell_angle_alpha 90.00
_cell_angle_beta 90.00
_cell_angle_gamma 90.00
_space_group_name_H-M_alt 'F -4 3 m'
_space_group_IT_number 216
_space_group_name_Hall 'F -4 2 3'
loop_
_atom_site_label
_atom_site_type_symbol
_atom_site_fract_x
_atom_site_fract_y
_atom_site_fract_z
Lu1 Lu 0.000 0.000 0.000
V1 V 0.250 0.250 0.250
B1 B 0.104 0.104 0.604
```


DFT (PBE) results for a geometry-optimized LuVB2 structure.

Calculated formation energy, kJ per mole of atoms: -9

```
data_LuVB2
_cell_length_a 3.5233
_cell_length_b 3.5233
_cell_length_c 14.4673
_cell_angle_alpha 90.00
_cell_angle_beta 90.00
_cell_angle_gamma 120.00
_space_group_name_H-M_alt 'R -3 m'
_space_group_IT_number 166
_space_group_name_Hall '-R 3 2"'
loop_
_atom_site_label
_atom_site_type_symbol
_atom_site_fract_x
_atom_site_fract_y
_atom_site_fract_z
Lu1 Lu 0.0000 0.0000 0.0000
V1 V 0.0000 0.0000 0.5000
B1 B 0.0000 0.0000 0.2184
```


DFT (PBE) results for a geometry-optimized YbLuB24 structure.

Calculated formation energy, kJ per mole of atoms: -22

```
data_YbLuB24
_cell_length_a 5.2807
_cell_length_b 5.2807
_cell_length_c 25.8859
_cell_angle_alpha 90.00
_cell_angle_beta 90.00
_cell_angle_gamma 120.00
_space_group_name_H-M_alt 'R -3 m'
_space_group_IT_number 166
_space_group_name_Hall '-R 3 2"'
loop_
_atom_site_label
_atom_site_type_symbol
_atom_site_fract_x
_atom_site_fract_y
_atom_site_fract_z
Yb1 Yb 0.0000 0.0000 0.0000
Lu1 Lu 0.0000 0.0000 0.5000
B1 B 0.9998 0.3376 0.2499
B2 B 0.1084 0.5542 0.4730
B3 B 0.1079 0.5540 0.9728
```


DFT (PBE) results for a geometry-optimized MgB structure.

Calculated formation energy, kJ per mole of atoms: 155
Distance to the lowest polymorph of the same formula, eV per formula unit: 3.398

```
data_MgB
_cell_length_a 6.603
_cell_length_b 6.603
_cell_length_c 6.603
_cell_angle_alpha 90.00
_cell_angle_beta 90.00
_cell_angle_gamma 90.00
_space_group_name_H-M_alt 'P m -3 n'
_space_group_IT_number 223
_space_group_name_Hall '-P 4n 2 3'
loop_
_atom_site_label
_atom_site_type_symbol
_atom_site_fract_x
_atom_site_fract_y
_atom_site_fract_z
Mg1 Mg 0.000 0.250 0.500
B1 B 0.000 0.500 0.250
```


DFT (PBE) results for a geometry-optimized Mg3B11 structure.

Calculated formation energy, kJ per mole of atoms: 7

```
data_Mg3B11
_cell_length_a 3.105
_cell_length_b 5.510
_cell_length_c 13.307
_cell_angle_alpha 90.00
_cell_angle_beta 90.00
_cell_angle_gamma 90.00
_space_group_name_H-M_alt 'I m m m'
_space_group_IT_number 71
_space_group_name_Hall '-I 2 2'
loop_
_atom_site_label
_atom_site_type_symbol
_atom_site_fract_x
_atom_site_fract_y
_atom_site_fract_z
Mg1 Mg 0.000 0.000 0.000
Mg2 Mg 0.000 0.000 0.248
B1 B 0.000 0.172 0.500
B2 B 0.000 0.330 0.379
B3 B 0.000 0.335 0.122
B4 B 0.000 0.500 0.000
```


DFT (PBE) results for a geometry-optimized MgB structure.

Calculated formation energy, kJ per mole of atoms: -9
Distance to the lowest polymorph of the same formula, eV per formula unit: 0.000

```
data_MgB
_cell_length_a 5.407
_cell_length_b 3.120
_cell_length_c 6.273
_cell_angle_alpha 90.00
_cell_angle_beta 106.57
_cell_angle_gamma 90.00
_space_group_name_H-M_alt 'C 1 2/m 1'
_space_group_IT_number 12
loop_
_space_group_symop_operation_xyz
'x,y,z'
'-x,-y,-z'
'-x,y,-z'
'x,-y,z'
'x+1/2,y+1/2,z'
'-x+1/2,-y+1/2,-z'
'-x+1/2,y+1/2,-z'
'x+1/2,-y+1/2,z'
loop_
_atom_site_label
_atom_site_type_symbol
_atom_site_fract_x
_atom_site_fract_y
_atom_site_fract_z
Mg1 Mg 0.093 0.000 0.280
B1 B 0.167 0.500 0.000
```


DFT (PBE) results for a geometry-optimized MgB structure.

Calculated formation energy, kJ per mole of atoms: 119
Distance to the lowest polymorph of the same formula, eV per formula unit: 2.648

```
data_MgB
_cell_length_a 4.1914
_cell_length_b 4.1914
_cell_length_c 4.6329
_cell_angle_alpha 90.00
_cell_angle_beta 90.00
_cell_angle_gamma 120.00
_space_group_name_H-M_alt 'P 63/m m c'
_space_group_IT_number 194
_space_group_name_Hall '-P 6c 2c'
loop_
_atom_site_label
_atom_site_type_symbol
_atom_site_fract_x
_atom_site_fract_y
_atom_site_fract_z
Mg1 Mg 0.3333 0.6667 0.2500
B1 B 0.3333 0.6667 0.7500
```


DFT (PBE) results for a geometry-optimized MgB structure.

Calculated formation energy, kJ per mole of atoms: 10
Distance to the lowest polymorph of the same formula, eV per formula unit: 0.402

```
data_MgB
_cell_length_a 3.093
_cell_length_b 6.271
_cell_length_c 5.936
_cell_angle_alpha 90.00
_cell_angle_beta 90.00
_cell_angle_gamma 90.00
_space_group_name_H-M_alt 'I m m a'
_space_group_IT_number 74
_space_group_name_Hall '-I 2b 2'
loop_
_atom_site_label
_atom_site_type_symbol
_atom_site_fract_x
_atom_site_fract_y
_atom_site_fract_z
Mg1 Mg 0.000 0.000 0.000
B1 B 0.000 0.250 0.301
```


DFT (PBE) results for a geometry-optimized MgB12 structure.

Calculated formation energy, kJ per mole of atoms: 71

```
data_MgB12
_cell_length_a 4.959
_cell_length_b 4.959
_cell_length_c 4.959
_cell_angle_alpha 90.00
_cell_angle_beta 90.00
_cell_angle_gamma 90.00
_space_group_name_H-M_alt 'P m -3 m'
_space_group_IT_number 221
_space_group_name_Hall '-P 4 2 3'
loop_
_atom_site_label
_atom_site_type_symbol
_atom_site_fract_x
_atom_site_fract_y
_atom_site_fract_z
Mg1 Mg 0.000 0.000 0.000
B1 B 0.000 0.254 0.500
```


DFT (PBE) results for a geometry-optimized MgB structure.

Calculated formation energy, kJ per mole of atoms: 151
Distance to the lowest polymorph of the same formula, eV per formula unit: 3.328

```
data_MgB
_cell_length_a 5.399
_cell_length_b 5.399
_cell_length_c 5.399
_cell_angle_alpha 90.00
_cell_angle_beta 90.00
_cell_angle_gamma 90.00
_space_group_name_H-M_alt 'F -4 3 m'
_space_group_IT_number 216
_space_group_name_Hall 'F -4 2 3'
loop_
_atom_site_label
_atom_site_type_symbol
_atom_site_fract_x
_atom_site_fract_y
_atom_site_fract_z
Mg1 Mg 0.000 0.000 0.000
B1 B 0.250 0.250 0.250
```


DFT (PBE) results for a geometry-optimized MgB structure.

Calculated formation energy, kJ per mole of atoms: 50
Distance to the lowest polymorph of the same formula, eV per formula unit: 1.219

```
data_MgB
_cell_length_a 4.994
_cell_length_b 9.839
_cell_length_c 13.191
_cell_angle_alpha 90.00
_cell_angle_beta 90.00
_cell_angle_gamma 90.00
_space_group_name_H-M_alt 'F d d d'
_space_group_IT_number 70
loop_
_space_group_symop_operation_xyz
'x,y,z'
'-x,-y,-z'
'-x+1/4,-y+1/4,z'
'x+1/4,y+1/4,-z'
'x,-y+1/4,-z+1/4'
'-x,y+1/4,z+1/4'
'-x+1/4,y,-z+1/4'
'x+1/4,-y,z+1/4'
'x,y+1/2,z+1/2'
'-x,-y+1/2,-z+1/2'
'-x+1/4,-y+3/4,z+1/2'
'x+1/4,y+3/4,-z+1/2'
'x,-y+3/4,-z+3/4'
'-x,y+3/4,z+3/4'
'-x+1/4,y+1/2,-z+3/4'
'x+1/4,-y+1/2,z+3/4'
'x+1/2,y,z+1/2'
'-x+1/2,-y,-z+1/2'
'-x+3/4,-y+1/4,z+1/2'
'x+3/4,y+1/4,-z+1/2'
'x+1/2,-y+1/4,-z+3/4'
'-x+1/2,y+1/4,z+3/4'
'-x+3/4,y,-z+3/4'
'x+3/4,-y,z+3/4'
'x+1/2,y+1/2,z'
'-x+1/2,-y+1/2,-z'
'-x+3/4,-y+3/4,z'
'x+3/4,y+3/4,-z'
'x+1/2,-y+3/4,-z+1/4'
'-x+1/2,y+3/4,z+1/4'
'-x+3/4,y+1/2,-z+1/4'
'x+3/4,-y+1/2,z+1/4'
loop_
_atom_site_label
_atom_site_type_symbol
_atom_site_fract_x
_atom_site_fract_y
_atom_site_fract_z
Mg1 Mg 0.125 0.125 0.298
B1 B 0.125 0.048 0.125
```


DFT (PBE) results for a geometry-optimized MgB structure.

Calculated formation energy, kJ per mole of atoms: 11
Distance to the lowest polymorph of the same formula, eV per formula unit: 0.423

```
data_MgB
_cell_length_a 8.709
_cell_length_b 8.709
_cell_length_c 3.096
_cell_angle_alpha 90.00
_cell_angle_beta 90.00
_cell_angle_gamma 90.00
_space_group_name_H-M_alt 'I 4/m m m'
_space_group_IT_number 139
_space_group_name_Hall '-I 4 2'
loop_
_atom_site_label
_atom_site_type_symbol
_atom_site_fract_x
_atom_site_fract_y
_atom_site_fract_z
Mg1 Mg 0.000 0.262 0.000
B1 B 0.228 0.228 0.500
```


DFT (PBE) results for a geometry-optimized MgB structure.

Calculated formation energy, kJ per mole of atoms: 14
Distance to the lowest polymorph of the same formula, eV per formula unit: 0.472

```
data_MgB
_cell_length_a 6.538
_cell_length_b 5.543
_cell_length_c 6.191
_cell_angle_alpha 90.00
_cell_angle_beta 90.00
_cell_angle_gamma 90.00
_space_group_name_H-M_alt 'P n m a'
_space_group_IT_number 62
loop_
_space_group_symop_operation_xyz
'x,y,z'
'-x,-y,-z'
'-x+1/2,-y,z+1/2'
'x+1/2,y,-z+1/2'
'x+1/2,-y+1/2,-z+1/2'
'-x+1/2,y+1/2,z+1/2'
'-x,y+1/2,-z'
'x,-y+1/2,z'
loop_
_atom_site_label
_atom_site_type_symbol
_atom_site_fract_x
_atom_site_fract_y
_atom_site_fract_z
Mg1 Mg 0.093 0.250 0.193
Mg2 Mg 0.212 0.250 0.681
B1 B 0.093 0.601 0.488
```


DFT (PBE) results for a geometry-optimized MgB structure.

Calculated formation energy, kJ per mole of atoms: -8
Distance to the lowest polymorph of the same formula, eV per formula unit: 0.026

```
data_MgB
_cell_length_a 3.133
_cell_length_b 5.402
_cell_length_c 12.063
_cell_angle_alpha 90.00
_cell_angle_beta 90.00
_cell_angle_gamma 90.00
_space_group_name_H-M_alt 'F m m m'
_space_group_IT_number 69
_space_group_name_Hall '-F 2 2'
loop_
_atom_site_label
_atom_site_type_symbol
_atom_site_fract_x
_atom_site_fract_y
_atom_site_fract_z
Mg1 Mg 0.000 0.000 0.139
B1 B 0.000 0.168 0.500
```